Compound: DyY4Ir2
Source: the Alexandria database
Functional: PBE-GGA
Structure: optimized geometry Values from VASP.

* total energy: -7.395 eV per atom
* total moment: 0.0 Bohr magnetons per cell

The structure in Quantum ESPRESSO input format:
```
&SYSTEM
  ibrav = 0, nat = 14, ntyp = 3
/
ATOMIC_SPECIES
Dy 162.50 Dy.upf
Y 88.91 Y.upf
Ir 192.22 Ir.upf
CELL_PARAMETERS angstrom
6.347 0.000 0.000
0.000 7.307 -3.021
0.000 -0.049 7.901
ATOMIC_POSITIONS angstrom
Dy 1.587 6.107 5.120
Dy 4.761 1.151 -0.240
Y 3.190 3.001 4.776
Y 1.587 1.796 1.887
Y 4.761 5.462 2.993
Y 6.331 3.001 4.776
Y 4.761 0.095 2.953
Y 0.017 4.257 0.104
Y 3.157 4.257 0.104
Y 1.587 7.163 1.928
Ir 1.587 1.819 7.012
Ir 4.761 5.439 -2.131
Ir 4.761 2.706 2.109
Ir 1.587 4.552 2.772
```

Compound: DyYIr
Source: the Alexandria database
Functional: PBE-GGA
Structure: optimized geometry Values from VASP.

* energy relative to the lowest polymorph listed for this composition: 150.9 meV/atom
* total energy: -7.179 eV per atom
* total moment: 0.0 Bohr magnetons per cell

The structure in Quantum ESPRESSO input format:
```
&SYSTEM
  ibrav = 0, nat = 3, ntyp = 3
/
ATOMIC_SPECIES
Y 88.91 Y.upf
Ir 192.22 Ir.upf
Dy 162.50 Dy.upf
CELL_PARAMETERS angstrom
-2.732 4.924 -2.463
-2.923 -2.411 -1.577
-0.469 1.613 3.744
ATOMIC_POSITIONS angstrom
Y -3.649 1.712 -1.195
Ir -2.193 1.904 1.154
Dy -0.282 0.509 -0.255
```

Compound: DyYIr
Source: the Alexandria database
Functional: PBE-GGA
Structure: optimized geometry Values from VASP.

* energy relative to the lowest polymorph listed for this composition: 7.5 meV/atom
* total energy: -7.323 eV per atom
* total moment: 0.0 Bohr magnetons per cell

The structure in Quantum ESPRESSO input format:
```
&SYSTEM
  ibrav = 0, nat = 3, ntyp = 3
/
ATOMIC_SPECIES
Y 88.91 Y.upf
Ir 192.22 Ir.upf
Dy 162.50 Dy.upf
CELL_PARAMETERS angstrom
-2.505 -3.322 2.414
-0.569 -4.401 -1.855
2.266 -3.754 1.976
ATOMIC_POSITIONS angstrom
Y 0.000 0.000 0.000
Ir -0.202 -2.869 0.634
Dy -0.404 -5.739 1.268
```

Number 1: DOS(E_F) 15.45 states/eV/cell. Number 2: DOS(E_F) 2.01 states/eV/cell. Number 3: DOS(E_F) 3.25 states/eV/cell.